# 1
Crystalline ReH2F6 at its relaxed geometry. Source: the Alexandria database, functional PBE. Values from VASP.

Quantum ESPRESSO input file:
```
&SYSTEM
  ibrav = 0, nat = 18, ntyp = 3
/
ATOMIC_SPECIES
Re 186.21 Re.upf
H 1.01 H.upf
F 19.00 F.upf
CELL_PARAMETERS angstrom
4.804 0.000 0.000
0.000 4.804 0.000
0.000 0.000 10.084
ATOMIC_POSITIONS crystal
Re 0.000 0.000 0.000
Re 0.500 0.500 0.500
H 0.000 0.000 0.216
H 0.000 0.000 0.784
H 0.500 0.500 0.284
H 0.500 0.500 0.716
F 0.162 0.162 0.171
F 0.162 0.162 0.829
F 0.215 0.215 0.500
F 0.285 0.715 0.000
F 0.338 0.662 0.329
F 0.338 0.662 0.671
F 0.662 0.338 0.329
F 0.662 0.338 0.671
F 0.715 0.285 0.000
F 0.785 0.785 0.500
F 0.838 0.838 0.171
F 0.838 0.838 0.829
```

=====

# 2
Crystalline ReH2F6 at its relaxed geometry. Source: the Alexandria database, functional PBE. Values from VASP.

Quantum ESPRESSO input file:
```
&SYSTEM
  ibrav = 0, nat = 18, ntyp = 3
/
ATOMIC_SPECIES
Re 186.21 Re.upf
H 1.01 H.upf
F 19.00 F.upf
CELL_PARAMETERS angstrom
5.141 0.000 0.000
0.000 5.564 0.000
-3.721 0.000 8.095
ATOMIC_POSITIONS crystal
Re 0.000 0.000 0.000
Re 0.000 0.500 0.500
H 0.203 0.153 0.323
H 0.203 0.347 0.823
H 0.797 0.653 0.177
H 0.797 0.847 0.677
F 0.099 0.194 0.416
F 0.099 0.306 0.916
F 0.276 0.679 0.449
F 0.276 0.821 0.949
F 0.287 0.095 0.230
F 0.287 0.405 0.730
F 0.713 0.595 0.270
F 0.713 0.905 0.770
F 0.724 0.179 0.051
F 0.724 0.321 0.551
F 0.901 0.694 0.084
F 0.901 0.806 0.584
```

=====

# 3
! Re2H2F | the Alexandria database | PBE | relaxed; values from VASP
&SYSTEM
  ibrav = 0, nat = 10, ntyp = 3
/
ATOMIC_SPECIES
Re 186.21 Re.upf
H 1.01 H.upf
F 19.00 F.upf
CELL_PARAMETERS angstrom
6.078 0.000 0.000
0.000 6.078 0.000
0.000 0.000 2.697
ATOMIC_POSITIONS crystal
Re 0.134 0.366 0.000
Re 0.366 0.866 0.000
Re 0.634 0.134 0.000
Re 0.866 0.634 0.000
H 0.130 0.630 0.500
H 0.370 0.130 0.500
H 0.630 0.870 0.500
H 0.870 0.370 0.500
F 0.000 0.000 0.500
F 0.500 0.500 0.500
! DOS at the Fermi energy	2.30	states/eV/f.u.

=====

# 4
! ReHF3 | the Alexandria database | PBE | relaxed; values from VASP
&SYSTEM
  ibrav = 0, nat = 5, ntyp = 3
/
ATOMIC_SPECIES
Re 186.21 Re.upf
H 1.01 H.upf
F 19.00 F.upf
CELL_PARAMETERS angstrom
3.662 0.000 0.000
0.000 3.662 0.000
0.000 0.000 3.662
ATOMIC_POSITIONS crystal
Re 0.000 0.000 0.000
H 0.500 0.500 0.500
F 0.000 0.500 0.500
F 0.500 0.000 0.500
F 0.500 0.500 0.000
! DOS at the Fermi energy	1.91	states/eV/f.u.

=====

# 5
! ReHSe2F | the Alexandria database | PBE | relaxed; values from VASP
&SYSTEM
  ibrav = 0, nat = 5, ntyp = 4
/
ATOMIC_SPECIES
Re 186.21 Re.upf
H 1.01 H.upf
Se 78.96 Se.upf
F 19.00 F.upf
CELL_PARAMETERS angstrom
4.829 0.000 0.000
0.000 4.829 0.000
0.000 0.000 4.152
ATOMIC_POSITIONS crystal
Re 0.000 0.000 0.000
H 0.500 0.500 0.500
Se 0.000 0.500 0.000
Se 0.500 0.000 0.000
F 0.000 0.000 0.500
! DOS at the Fermi energy	2.83	states/eV/f.u.

=====

# 6
! SrReHF2 | the Alexandria database | PBE | relaxed; values from VASP
&SYSTEM
  ibrav = 0, nat = 5, ntyp = 4
/
ATOMIC_SPECIES
Sr 87.62 Sr.upf
Re 186.21 Re.upf
H 1.01 H.upf
F 19.00 F.upf
CELL_PARAMETERS angstrom
4.693 0.000 0.000
0.000 4.693 0.000
0.000 0.000 4.800
ATOMIC_POSITIONS crystal
Sr 0.000 0.000 0.000
Re 0.500 0.500 0.500
H 0.000 0.000 0.500
F 0.000 0.500 0.000
F 0.500 0.000 0.000
! DOS at the Fermi energy	0.40	states/eV/f.u.

=====

# 7
! ReTeH2F | the Alexandria database | PBE | relaxed; values from VASP
&SYSTEM
  ibrav = 0, nat = 5, ntyp = 4
/
ATOMIC_SPECIES
Re 186.21 Re.upf
Te 127.60 Te.upf
H 1.01 H.upf
F 19.00 F.upf
CELL_PARAMETERS angstrom
4.012 0.000 0.000
0.000 4.012 0.000
0.000 0.000 3.952
ATOMIC_POSITIONS crystal
Re 0.000 0.000 0.000
Te 0.500 0.500 0.000
H 0.000 0.500 0.500
H 0.500 0.000 0.500
F 0.000 0.000 0.500
! DOS at the Fermi energy	3.89	states/eV/f.u.

=====

# 8
! TiReH2F | the Alexandria database | PBE | relaxed; values from VASP
&SYSTEM
  ibrav = 0, nat = 5, ntyp = 4
/
ATOMIC_SPECIES
Ti 47.87 Ti.upf
Re 186.21 Re.upf
H 1.01 H.upf
F 19.00 F.upf
CELL_PARAMETERS angstrom
3.422 0.000 0.000
0.000 3.422 0.000
0.000 0.000 4.455
ATOMIC_POSITIONS crystal
Ti 0.000 0.000 0.000
Re 0.500 0.500 0.500
H 0.000 0.500 0.500
H 0.500 0.000 0.500
F 0.500 0.500 0.000
! DOS at the Fermi energy	4.17	states/eV/f.u.

=====

Number 1: raw total energy -4.94 eV/atom, mass density 4.3 Mg/m³. Number 2: raw total energy -5.12 eV/atom, mass density 4.3 Mg/m³. Number 3: raw total energy -5.96 eV/atom, mass density 13.1 Mg/m³. Number 4: raw total energy -4.38 eV/atom, mass density 8.3 Mg/m³. Number 5: raw total energy -4.68 eV/atom, mass density 6.2 Mg/m³. Number 6: raw total energy -4.73 eV/atom, mass density 4.9 Mg/m³. Number 7: raw total energy -3.93 eV/atom, mass density 8.7 Mg/m³. Number 8: raw total energy -5.65 eV/atom, mass density 8.1 Mg/m³.